## RhAuI (PBE)

Data for crystalline RhAuI at its relaxed geometry.

Structure (POSCAR):
```
RhAuI
1.0
-2.748 2.085 1.595
-0.556 -1.582 -3.416
-4.319 -9.646 5.170
Au Rh I
2 2 2
Direct
0.335 0.670 0.000
0.333 0.666 0.500
0.666 0.332 0.647
0.666 0.332 0.353
0.333 0.666 0.769
0.333 0.666 0.231
```

Properties
* Fermi-level density of states: 0.93 states/eV per atom
* formation energy (no corrections): 453 meV/atom

=====

## Zn2TcCl (PBE)

Data for crystalline Zn2TcCl at its relaxed geometry.

Structure (POSCAR):
```
Zn2TcCl
1.0
-2.028 -1.859 1.050
2.683 -0.769 0.939
-0.923 4.649 6.448
Zn Cl Tc
2 1 1
Direct
0.000 0.000 0.509
0.000 0.000 0.991
0.500 0.500 0.250
0.500 0.500 0.750
```

Properties
* Fermi-level density of states: 0.49 states/eV per atom
* formation energy (no corrections): 128 meV/atom
* offset from the most stable computed form: 87 meV/atom

=====

## RuCS2 (PBE)

Data for crystalline RuCS2 at its relaxed geometry.

Structure (POSCAR):
```
RuCS2
1.0
2.063 0.000 5.658
-1.032 1.787 5.658
-1.032 -1.787 5.658
C S Ru
1 2 1
Direct
0.000 0.000 0.000
0.094 0.094 0.094
0.906 0.906 0.906
0.500 0.500 0.500
```

Properties
* Fermi-level density of states: 0.51 states/eV per atom
* formation energy (no corrections): 566 meV/atom

=====

## AlCrGaRe (PBE)

Data for crystalline AlCrGaRe at its relaxed geometry.

Structure (POSCAR):
```
AlCrGaRe
1.0
4.263 0.000 0.000
2.132 3.692 0.000
2.132 1.231 3.481
Cr Al Ga Re
1 1 1 1
Direct
0.750 0.750 0.750
0.250 0.250 0.250
0.500 0.500 0.500
0.000 0.000 0.000
```

Properties
* Fermi-level density of states: 0.82 states/eV per atom
* formation energy from the elements: 0.1 eV per formula unit

=====

## Ac2Mg3Ga2 (PBE)

Data for crystalline Ac2Mg3Ga2 at its relaxed geometry.

Structure (POSCAR):
```
Ac2Mg3Ga2
1.0
4.728 0.000 0.000
-2.364 5.377 -2.061
0.000 -0.179 7.576
Mg Ga Ac
3 2 2
Direct
0.620 0.240 0.430
0.380 0.760 0.570
0.500 0.000 0.000
0.148 0.296 0.227
0.852 0.704 0.773
0.145 0.290 0.777
0.855 0.710 0.223
```

Properties
* Fermi-level density of states: 0.95 states/eV per atom
* offset from the most stable computed form: 0 meV/atom
* formation energy from the elements: -2.1 eV per formula unit

=====

## ZrIrCl2 (PBE)

Data for crystalline ZrIrCl2 at its relaxed geometry.

Structure (POSCAR):
```
ZrIrCl2
1.0
3.003 0.000 0.000
0.000 3.003 0.000
0.000 0.000 9.896
Cl Zr Ir
2 1 1
Direct
0.000 0.000 0.914
0.000 0.000 0.586
0.500 0.500 0.750
0.500 0.500 0.250
```

Properties
* Fermi-level density of states: 0.89 states/eV per atom
* formation energy (no corrections): 9 meV/atom
* offset from the most stable computed form: 815 meV/atom

=====

## NpAlAg (PBE)

Data for crystalline NpAlAg at its relaxed geometry.

Structure (POSCAR):
```
NpAlAg
1.0
5.319 0.000 0.000
2.659 4.060 0.000
2.659 0.000 5.685
Ag Al Np
2 2 2
Direct
0.750 0.500 0.500
0.250 0.500 0.500
0.376 0.000 0.248
0.624 0.000 0.752
0.161 0.677 0.000
0.839 0.323 0.000
```

Properties
* Fermi-level density of states: 1.08 states/eV per atom
* formation energy from the elements: 0.4 eV per formula unit

=====

## Re3AsI (PBE)

Data for crystalline Re3AsI at its relaxed geometry.

Structure (POSCAR):
```
Re3AsI
1.0
-0.317 4.628 -0.022
-3.074 -0.227 -3.467
-3.460 -0.223 3.082
As Re I
1 3 1
Direct
0.000 0.000 0.000
0.500 0.000 0.000
0.000 0.000 0.500
0.000 0.500 0.000
0.500 0.500 0.500
```

Properties
* Fermi-level density of states: 0.77 states/eV per atom
* formation energy (no corrections): 2005 meV/atom
* offset from the most stable computed form: 0 meV/atom

=====

## LaCeCu2 (PBE)

Data for crystalline LaCeCu2 at its relaxed geometry.

Structure (POSCAR):
```
LaCeCu2
1.0
-3.837 -2.216 -2.491
0.965 -3.487 -3.570
-1.101 -4.887 0.858
La Ce Cu
1 1 2
Direct
0.500 0.500 0.500
0.000 0.000 0.000
0.250 0.250 0.250
0.750 0.750 0.750
```

Properties
* Fermi-level density of states: 2.13 states/eV per atom
* offset from the most stable computed form: 33 meV/atom
* formation energy from the elements: -0.2 eV per formula unit

=====

## K5Mg (PBE)

Data for crystalline K5Mg at its relaxed geometry.

Structure (POSCAR):
```
K5Mg
1.0
0.924 7.514 -0.873
-2.839 -2.759 6.512
6.558 -0.499 2.648
K Mg
5 1
Direct
0.000 0.690 0.000
0.690 0.000 0.000
0.310 0.310 0.000
0.667 0.333 0.500
0.333 0.667 0.500
0.000 0.000 0.500
```

Properties
* Fermi-level density of states: 0.79 states/eV per atom
* offset from the most stable computed form: 19 meV/atom
* formation energy from the elements: 0.6 eV per formula unit

=====

## Ba8TlPd2Pt (PBE)

Data for crystalline Ba8TlPd2Pt at its relaxed geometry.

Structure (POSCAR):
```
Ba8TlPd2Pt
1.0
-4.322 2.579 -5.938
-5.983 0.978 4.615
2.942 9.215 1.861
Ba Tl Pd Pt
8 1 2 1
Direct
0.176 0.769 0.226
0.678 0.729 0.000
0.824 0.231 0.774
0.657 0.713 0.500
0.343 0.287 0.500
0.824 0.231 0.226
0.322 0.271 0.000
0.176 0.769 0.774
0.000 0.000 0.500
0.500 0.500 0.755
0.500 0.500 0.245
0.000 0.000 0.000
```

Properties
* Fermi-level density of states: 0.65 states/eV per atom
* formation energy from the elements: -4.8 eV per formula unit

=====

## Li2PmTmHg4 (PBE)

Data for crystalline Li2PmTmHg4 at its relaxed geometry.

Structure (POSCAR):
```
Li2PmTmHg4
1.0
-0.371 2.119 4.555
3.197 -1.322 3.661
6.139 6.270 0.369
Hg Li Pm Tm
4 2 1 1
Direct
0.378 0.378 0.865
0.872 0.872 0.383
0.622 0.622 0.135
0.128 0.128 0.617
0.248 0.248 0.255
0.752 0.752 0.745
0.000 0.000 0.000
0.500 0.500 0.500
```

Properties
* Fermi-level density of states: 0.71 states/eV per atom
* formation energy from the elements: -3.5 eV per formula unit

=====

## PrS2O8 (PBE)

Data for crystalline PrS2O8 at its relaxed geometry.

Structure (POSCAR):
```
PrS2O8
1.0
1.631 4.503 2.960
-2.049 -1.616 8.944
6.326 -1.626 4.342
Pr O S
2 16 4
Direct
0.836 0.250 0.750
0.164 0.750 0.250
0.403 0.224 0.983
0.597 0.776 0.017
0.848 0.973 0.773
0.828 0.577 0.389
0.593 0.527 0.727
0.407 0.473 0.273
0.389 0.724 0.483
0.755 0.776 0.535
0.935 0.276 0.035
0.794 0.923 0.111
0.206 0.077 0.889
0.611 0.276 0.517
0.172 0.423 0.611
0.152 0.027 0.227
0.065 0.724 0.965
0.245 0.224 0.465
0.825 0.848 0.963
0.636 0.652 0.537
0.364 0.348 0.463
0.175 0.152 0.037
```

Properties
* Fermi-level density of states: 0.77 states/eV per atom
* formation energy (no corrections): -1738 meV/atom

=====

## Sc2FeAu (PBE)

Data for crystalline Sc2FeAu at its relaxed geometry.

Structure (POSCAR):
```
Sc2FeAu
1.0
4.181 0.000 0.000
0.000 4.181 0.000
2.091 2.091 9.154
Au Fe Sc
2 2 4
Direct
0.750 0.250 0.500
0.000 0.000 0.000
0.500 0.500 0.000
0.250 0.750 0.500
0.135 0.625 0.250
0.615 0.125 0.250
0.875 0.865 0.750
0.375 0.385 0.750
```

Properties
* Fermi-level density of states: 1.14 states/eV per atom
* formation energy from the elements: 1.0 eV per formula unit

=====

## Ca2Al2AgPt5 (PBE)

Data for crystalline Ca2Al2AgPt5 at its relaxed geometry.

Structure (POSCAR):
```
Ca2Al2AgPt5
1.0
-1.271 2.666 2.255
-0.207 -6.384 7.430
9.205 2.416 2.332
Ca Pt Ag Al
4 10 2 4
Direct
0.000 0.176 0.324
0.000 0.676 0.176
0.000 0.824 0.676
0.000 0.324 0.824
0.500 0.500 0.000
0.500 0.791 0.933
0.500 0.433 0.291
0.500 0.709 0.433
0.500 0.000 0.500
0.500 0.291 0.567
0.500 0.067 0.791
0.500 0.209 0.067
0.500 0.567 0.709
0.500 0.933 0.209
0.000 0.000 0.000
0.000 0.500 0.500
0.000 0.377 0.123
0.000 0.877 0.377
0.000 0.623 0.877
0.000 0.123 0.623
```

Properties
* Fermi-level density of states: 0.33 states/eV per atom
* formation energy from the elements: -7.9 eV per formula unit

=====

## Ho5Tm8Th (PBE)

Data for crystalline Ho5Tm8Th at its relaxed geometry.

Structure (POSCAR):
```
Ho5Tm8Th
1.0
7.925 0.000 -2.600
-4.013 6.724 -2.870
0.102 0.000 8.340
Ho Tm Th
5 8 1
Direct
0.868 0.901 0.198
0.297 0.099 0.967
0.033 0.330 0.132
0.500 0.000 0.500
0.802 0.670 0.703
0.584 0.923 0.847
0.655 0.397 0.912
0.088 0.743 0.485
0.742 0.257 0.345
0.153 0.737 0.076
0.515 0.603 0.258
0.924 0.077 0.661
0.339 0.263 0.416
0.250 0.500 0.750
```

Properties
* Fermi-level density of states: 1.61 states/eV per atom
* formation energy from the elements: 4.1 eV per formula unit

=====

## BaCePb (PBE)

Data for crystalline BaCePb at its relaxed geometry.

Structure (POSCAR):
```
BaCePb
1.0
4.913 -0.178 -0.019
0.295 4.907 -0.018
0.185 0.168 9.478
Pb Ce Ba
2 2 2
Direct
0.293 0.346 0.680
0.834 0.887 0.159
0.771 0.409 0.920
0.356 0.824 0.920
0.315 0.368 0.276
0.812 0.865 0.563
```

Properties
* Fermi-level density of states: 2.04 states/eV per atom
* formation energy from the elements: -1.1 eV per formula unit

=====

## Al3POs (PBE)

Data for crystalline Al3POs at its relaxed geometry.

Structure (POSCAR):
```
Al3POs
1.0
-3.790 0.994 2.624
-2.669 0.081 -3.887
-0.864 -4.609 0.498
P Al Os
1 3 1
Direct
0.500 0.500 0.500
0.000 0.500 0.000
0.000 0.000 0.500
0.500 0.000 0.000
0.000 0.000 0.000
```

Properties
* Fermi-level density of states: 0.76 states/eV per atom
* offset from the most stable computed form: 0 meV/atom
* formation energy from the elements: 2.3 eV per formula unit

=====

## ScRhS2N (PBE)

Data for crystalline ScRhS2N at its relaxed geometry.

Structure (POSCAR):
```
ScRhS2N
1.0
4.825 0.000 0.000
0.000 4.825 0.000
0.000 0.000 3.661
N Rh Sc S
1 1 1 2
Direct
0.000 0.000 0.500
0.000 0.000 0.000
0.500 0.500 0.500
0.000 0.500 0.000
0.500 0.000 0.000
```

Properties
* Fermi-level density of states: 0.49 states/eV per atom
* formation energy (no corrections): -201 meV/atom
* offset from the most stable computed form: 0 meV/atom

=====

## LiBeFeRh (PBE)

Data for crystalline LiBeFeRh at its relaxed geometry.

Structure (POSCAR):
```
LiBeFeRh
1.0
-0.608 -1.159 -3.824
-2.871 -2.713 -0.857
-3.348 1.149 -1.952
Rh Li Fe Be
1 1 1 1
Direct
0.250 0.250 0.250
0.750 0.750 0.750
0.500 0.500 0.500
0.000 0.000 0.000
```

Properties
* Fermi-level density of states: 0.99 states/eV per atom
* formation energy from the elements: -0.5 eV per formula unit